No. 1
# MgScMn PBE optimized geometry
# Magnetization in μB/atom: 0.53
# Formation energy from the elements in eV/atom: 0.460
# E above lowest polymorph in meV per atom: 388
data_MgScMn
_cell_length_a 4.977
_cell_length_b 6.385
_cell_length_c 16.086
_cell_angle_alpha 90.00
_cell_angle_beta 90.00
_cell_angle_gamma 90.00
_symmetry_space_group_name_H-M 'F m m m'
_symmetry_Int_Tables_number 69
_symmetry_space_group_name_Hall '-F 2 2'
loop_
_atom_site_label
_atom_site_fract_x
_atom_site_fract_y
_atom_site_fract_z
Mg1 0.250 0.250 0.250
Sc1 0.000 0.000 0.092
Mn1 0.000 0.163 0.500

No. 2
# Sr2TbYS4 PBE optimized geometry
# Magnetization in μB/atom: 0.00
# Formation energy (no corrections) in eV/atom: -2.0439
data_Sr2TbYS4
_cell_length_a 7.000
_cell_length_b 4.048
_cell_length_c 7.179
_cell_angle_alpha 90.00
_cell_angle_beta 109.02
_cell_angle_gamma 90.00
_symmetry_space_group_name_H-M 'P 1 2/m 1'
_symmetry_Int_Tables_number 10
_symmetry_space_group_name_Hall '-P 2y'
loop_
_atom_site_label
_atom_site_fract_x
_atom_site_fract_y
_atom_site_fract_z
Sr1 0.000 0.000 0.000
Sr2 0.500 0.500 0.000
Tb1 0.000 0.500 0.500
Y1 0.500 0.000 0.500
S1 0.244 0.000 0.730
S2 0.257 0.500 0.270